[1]
Compound: Ba2NpZnTe5
Source: Alexandria via LeMat-Bulk
Functional: PBE
Structure: optimized geometry

Lattice parameters (Å, degrees): 10.4035 10.4035 14.0735 90.00 90.00 154.56
Element x y z (fractional)
Ba: 0.1155 0.8845 0.5000
Ba: 0.1223 0.8777 0.1301
Ba: 0.8777 0.1223 0.6301
Ba: 0.8845 0.1155 0.0000
Np: 0.2020 0.7980 0.8277
Np: 0.7980 0.2020 0.3277
Zn: 0.4362 0.5638 0.2493
Zn: 0.5638 0.4362 0.7493
Te: 0.0528 0.9472 0.8548
Te: 0.2934 0.7066 0.4727
Te: 0.3062 0.6938 0.1787
Te: 0.3508 0.6492 0.8174
Te: 0.4987 0.5013 0.0863
Te: 0.5013 0.4987 0.5863
Te: 0.6492 0.3508 0.3174
Te: 0.6938 0.3062 0.6787
Te: 0.7066 0.2934 0.9727
Te: 0.9472 0.0528 0.3548

## Properties
Formation energy (no corrections) in eV/atom: -1.087

***

[2]
Compound: BaCrIr
Source: Alexandria via LeMat-Bulk
Functional: PBE
Structure: optimized geometry

Lattice parameters (Å, degrees): 4.8659 4.8659 4.8659 60.00 60.00 60.00
Element x y z (fractional)
Ba: 0.0000 0.0000 0.0000
Cr: 0.5000 0.5000 0.5000
Ir: 0.7500 0.7500 0.7500

## Properties
Offset from the most stable computed form in meV/atom: 489
Formation energy in eV per atom: 0.7387

***

[3]
Compound: Tb2DyY4Sc
Source: Alexandria via LeMat-Bulk
Functional: PBE
Structure: optimized geometry

Lattice parameters (Å, degrees): 4.9920 4.9920 9.9643 90.00 90.00 90.00
Element x y z (fractional)
Tb: 0.0000 0.0000 0.0000
Tb: 0.5000 0.5000 0.5000
Dy: 0.0000 0.0000 0.5000
Y: 0.0000 0.5000 0.2454
Y: 0.0000 0.5000 0.7546
Y: 0.5000 0.0000 0.2454
Y: 0.5000 0.0000 0.7546
Sc: 0.5000 0.5000 0.0000

## Properties
Formation energy in eV per atom: 0.0321

***

[4]
Compound: NaAl2Ni2
Source: Alexandria via LeMat-Bulk
Functional: PBE
Structure: optimized geometry

Lattice parameters (Å, degrees): 5.8583 5.8583 5.8583 140.32 140.32 57.37
Element x y z (fractional)
Na: 0.0000 0.0000 0.0000
Al: 0.2500 0.7500 0.5000
Al: 0.7500 0.2500 0.5000
Ni: 0.3857 0.3857 0.0000
Ni: 0.6143 0.6143 0.0000

## Properties
Offset from the most stable computed form in meV/atom: 204
Formation energy in eV per atom: -0.1281

***

Number 1: D(E_F) 7.86 states/eV/f.u., spin magnetization 6.0 μB/cell. Number 2: D(E_F) 3.96 states/eV/f.u., spin magnetization 4.6 μB/cell. Number 3: D(E_F) 12.28 states/eV/f.u., spin magnetization 0.0 μB/cell. Number 4: D(E_F) 2.67 states/eV/f.u., spin magnetization 0.0 μB/cell.